TbEuLu2: relaxed, PBE-GGA.

a b c (Å): 5.6938 5.6938 3.9681
angles (deg): 90.00 90.00 90.00
Space group P4/mmm (No. 123)
Inequivalent atoms, fractional coordinates:
Tb1 0.0000 0.0000 0.0000 (multiplicity 1)
Eu1 0.5000 0.5000 0.0000 (multiplicity 1)
Lu1 0.0000 0.5000 0.5000 (multiplicity 2)

Values from the calculation:
The energy relative to the lowest polymorph listed for this composition is 0.000 eV per atom. Its calculated density is 8.530 g/cm³. As for the formation energy: 0.150 eV/atom. The calculation puts the volume at 128.6 Å³/cell.

---

TbEuLu4: relaxed, PBE-GGA.

a b c (Å): 9.3148 9.3148 9.3148
angles (deg): 90.00 90.00 90.00
Space group F-43m (No. 216)
Inequivalent atoms, fractional coordinates:
Tb1 0.0000 0.0000 0.0000 (multiplicity 4)
Eu1 0.2500 0.2500 0.2500 (multiplicity 4)
Lu1 0.1259 0.1259 0.6259 (multiplicity 16)

Values from the calculation:
Its calculated density is 8.307 g/cm³. As for the formation energy: 0.268 eV/atom. The calculation puts the volume at 808.2 Å³/cell.

---

TbEuLu2: relaxed, PBE-GGA.

a b c (Å): 3.4876 3.4876 37.1879
angles (deg): 90.00 90.00 120.00
Space group R-3m (No. 166, hexagonal axes)
Inequivalent atoms, fractional coordinates:
Tb1 0.0000 0.0000 0.0000 (multiplicity 3)
Eu1 0.0000 0.0000 0.5000 (multiplicity 3)
Lu1 0.0000 0.0000 0.4087 (multiplicity 6)

Values from the calculation:
The energy relative to the lowest polymorph listed for this composition is 0.032 eV per atom. Its calculated density is 8.404 g/cm³. As for the formation energy: 0.182 eV/atom. The calculation puts the volume at 391.7 Å³/cell.

---

TbEuLuTl: relaxed, PBE-GGA.

a b c (Å): 7.8399 7.8399 7.8399
angles (deg): 90.00 90.00 90.00
Space group F-43m (No. 216)
Inequivalent atoms, fractional coordinates:
Tb1 0.0000 0.0000 0.0000 (multiplicity 4)
Eu1 0.0000 0.0000 0.5000 (multiplicity 4)
Lu1 0.2500 0.2500 0.7500 (multiplicity 4)
Tl1 0.2500 0.2500 0.2500 (multiplicity 4)

Values from the calculation:
Its calculated density is 9.514 g/cm³. As for the formation energy: -0.038 eV/atom. The calculation puts the volume at 481.9 Å³/cell.

---

TbEuTmLu: relaxed, PBE-GGA.

a b c (Å): 8.0313 8.0313 8.0313
angles (deg): 90.00 90.00 90.00
Space group F-43m (No. 216)
Inequivalent atoms, fractional coordinates:
Tb1 0.0000 0.0000 0.0000 (multiplicity 4)
Eu1 0.0000 0.0000 0.5000 (multiplicity 4)
Tm1 0.2500 0.2500 0.2500 (multiplicity 4)
Lu1 0.2500 0.2500 0.7500 (multiplicity 4)

Values from the calculation:
Its calculated density is 8.396 g/cm³. As for the formation energy: 0.157 eV/atom. The calculation puts the volume at 518.0 Å³/cell.

---

EuLuTe2: relaxed, PBE-GGA.

a b c (Å): 4.4009 4.4009 22.0205
angles (deg): 90.00 90.00 120.00
Space group R-3m (No. 166, hexagonal axes)
Inequivalent atoms, fractional coordinates:
Eu1 0.0000 0.0000 0.0000 (multiplicity 3)
Lu1 0.0000 0.0000 0.5000 (multiplicity 3)
Te1 0.0000 0.0000 0.2432 (multiplicity 6)

Values from the calculation:
Its calculated density is 7.851 g/cm³. For the raw formation energy, the calculation gives -1410 meV/atom. The calculation puts the volume at 369.4 Å³/cell.

---

Number 1: size of the total moment 7.10 μB per cell. Number 2: size of the total moment 29.85 μB per cell. Number 3: size of the total moment 23.11 μB per cell. Number 4: size of the total moment 30.65 μB per cell. Number 5: size of the total moment 28.35 μB per cell. Number 6: size of the total moment 21.22 μB per cell.